Material: K2SnSe4
Method: DFT, GGA-PBE
State: relaxed

Unit cell a=7.9231 b=3.9580 c=7.9877 alpha=90.00 beta=109.67 gamma=90.00
Element x y z (fractional)
K 0.2061 0.0000 0.3128
K 0.7939 0.0000 0.6872
Sn 0.5000 0.5000 0.0000
Se 0.1018 0.5000 0.9172
Se 0.4100 0.0000 0.7466
Se 0.5900 0.0000 0.2534
Se 0.8982 0.5000 0.0828

Calculated values
Space group = P2/m
ΔE_f (raw) = -57.6 kJ/mol of atoms
DFT total energy = -24.3 eV for the cell shown